PBE Tl2BiMoPd, optimized geometry; calculated formation energy = 1.4486 eV per atom; Fermi-level density of states = 5.93 states/eV/cell
1.0
-5.5129 -1.8675 1.4374
-0.0315 -3.2242 -4.3099
2.3563 -4.4227 3.2914
Mo Tl Bi Pd
1 2 1 1
Direct
0.0000 0.5000 0.0000 Mo
0.0000 0.0000 0.5000 Tl
0.5000 0.0000 0.0000 Tl
0.0000 0.0000 0.0000 Bi
0.5000 0.5000 0.5000 Pd